Entry 1:
Density functional theory data (PBE-GGA) for crystalline Mn2SnBC at its relaxed geometry.

Results
Space-group type   P4/mmm
Final energy   -4.4273 eV per atom

POSCAR file:
```
Mn2SnBC
1.0
4.7121 0.0000 0.0000
0.0000 4.7121 0.0000
0.0000 0.0000 3.9056
Mn Sn B C
2 1 1 1
Direct
0.0000 0.5000 0.0000 Mn
0.5000 0.0000 0.0000 Mn
0.0000 0.0000 0.0000 Sn
0.5000 0.5000 0.5000 B
0.0000 0.0000 0.5000 C
```

***

Entry 2:
Density functional theory data (PBE-GGA) for crystalline Sr2MnBC at its relaxed geometry.

Results
Space-group type   P4/mmm
Final energy   -4.4596 eV per atom

POSCAR file:
```
Sr2MnBC
1.0
5.4793 0.0000 0.0000
0.0000 5.4793 0.0000
0.0000 0.0000 3.6675
Sr Mn B C
2 1 1 1
Direct
0.0000 0.5000 0.0000 Sr
0.5000 0.0000 0.0000 Sr
0.0000 0.0000 0.0000 Mn
0.5000 0.5000 0.5000 B
0.0000 0.0000 0.5000 C
```

***

Entry 3:
Density functional theory data (PBE-GGA) for crystalline Tb2Mn2BC2 at its relaxed geometry.

Results
Space-group type   C2/m
Final energy   -7.7327 eV per atom

POSCAR file:
```
Tb2Mn2BC2
1.0
5.1085 -1.7660 0.0000
5.1085 1.7660 0.0000
-3.5134 0.0000 5.1984
Tb Mn B C
2 2 1 2
Direct
0.0760 0.0760 0.3345 Tb
0.9240 0.9240 0.6655 Tb
0.2912 0.2912 0.9126 Mn
0.7088 0.7088 0.0874 Mn
0.5000 0.5000 0.0000 B
0.2959 0.2959 0.2316 C
0.7041 0.7041 0.7684 C
```

***

Sequential DFT formation energy output: 3221, 1227, -201 meV per atom
Sequential mass density output: 4.81, 3.82, 8.19 g cm⁻³